DFT (GGA-PBE) results for crystalline Tl16Cd12In at its relaxed geometry.

Cell and atoms, written as POSCAR:
```
Tl16Cd12In
1.0
5.871 -8.251 0.000
5.871 8.251 0.000
-5.813 0.000 8.316
Tl Cd In
16 12 1
Direct
0.000 0.000 0.000
0.002 0.002 0.648
0.289 0.604 0.604
0.315 0.315 0.706
0.316 0.708 0.314
0.351 0.351 0.348
0.396 0.999 0.677
0.399 0.676 0.000
0.604 0.289 0.604
0.644 0.998 0.998
0.676 0.399 0.000
0.679 0.998 0.397
0.708 0.316 0.314
0.998 0.644 0.998
0.998 0.679 0.397
0.999 0.396 0.677
0.179 0.993 0.359
0.181 0.814 0.815
0.184 0.364 0.998
0.363 0.996 0.183
0.364 0.184 0.998
0.636 0.821 0.632
0.640 0.640 0.822
0.808 0.808 0.183
0.814 0.181 0.815
0.821 0.636 0.632
0.993 0.179 0.359
0.996 0.363 0.183
0.605 0.605 0.292
```

## Properties
The size of the total moment is 0.00 μB/f.u. For the volume, the calculation gives 805.8 Å³/cell. The density is 9.8 Mg/m³. The energy of formation is 22.4 meV/atom. As for the crystal system: monoclinic. Its symmetry is Cm (8).